12
Lattice="-2.935 -2.611 -3.164 3.664 -3.480 -0.043 -2.811 -3.161 5.363" Properties=species:S:1:pos:R:3 comment="GGA+U Na2ZnMoF8, relaxed" spacegroup="No. 12" dft_energy_ev_per_atom=-4.75 pbc="T T T"
Na -1.665 -5.381 2.369
Na -0.416 -3.871 -0.213
Zn -1.405 -1.580 2.682
Mo 0.000 0.000 0.000
F 1.842 -4.013 0.560
F 0.524 -4.356 -2.292
F -2.418 -3.493 -1.379
F -3.924 -5.239 1.597
F -2.605 -4.896 4.448
F 0.336 -5.760 3.535
F -0.873 -6.018 0.346
F -1.209 -3.235 1.811